# Sm8TmIn2

A relaxed Sm8TmIn2 crystal (PBE, Alexandria).

Summary:
formation enthalpy at 0 K	-0.053	eV per atom
DOS(E_F)	1.316	states/eV/atom

a = 5.781 Å, b = 8.944 Å, c = 8.944 Å
α = 120.03°, β = 103.37°, γ = 103.37°
Element x y z (fractional)
Sm 0.871 0.905 0.676
Sm 0.871 0.676 0.905
Sm 0.294 0.593 0.593
Sm 0.500 0.784 0.216
Sm 0.500 0.216 0.784
Sm 0.706 0.407 0.407
Sm 0.129 0.324 0.095
Sm 0.129 0.095 0.324
Tm 0.500 0.000 0.000
In 0.000 0.307 0.693
In 0.000 0.693 0.307

---

# Sm3TmIn2

A relaxed Sm3TmIn2 crystal (PBE, Alexandria).

Summary:
formation enthalpy at 0 K	-0.351	eV per atom
E above lowest polymorph	0	meV per atom
DOS(E_F)	0.986	states/eV/atom

a = 5.260 Å, b = 6.768 Å, c = 9.953 Å
α = 90.00°, β = 90.00°, γ = 90.00°
Element x y z (fractional)
Sm 0.000 0.467 0.966
Sm 0.000 0.967 0.034
Sm 0.500 0.694 0.182
Sm 0.500 0.194 0.818
Sm 0.000 0.307 0.326
Sm 0.000 0.807 0.674
Tm 0.500 0.530 0.537
Tm 0.500 0.030 0.463
In 0.500 0.711 0.854
In 0.500 0.211 0.146
In 0.000 0.291 0.644
In 0.000 0.791 0.356

---

# Sm4Tm5In

A relaxed Sm4Tm5In crystal (PBE, Alexandria).

Summary:
formation enthalpy at 0 K	-0.081	eV per atom
DOS(E_F)	1.226	states/eV/atom

a = 3.566 Å, b = 3.566 Å, c = 24.200 Å
α = 90.00°, β = 90.00°, γ = 90.00°
Element x y z (fractional)
Sm 0.000 0.000 0.188
Sm 0.000 0.000 0.397
Sm 0.000 0.000 0.603
Sm 0.000 0.000 0.812
Tm 0.500 0.500 0.085
Tm 0.500 0.500 0.293
Tm 0.500 0.500 0.500
Tm 0.500 0.500 0.707
Tm 0.500 0.500 0.915
In 0.000 0.000 0.000

---

# Sm3TmIn

A relaxed Sm3TmIn crystal (PBE, Alexandria).

Summary:
formation enthalpy at 0 K	-0.189	eV per atom
E above lowest polymorph	0	meV per atom
DOS(E_F)	1.081	states/eV/atom

a = 4.880 Å, b = 4.882 Å, c = 12.868 Å
α = 90.00°, β = 79.07°, γ = 90.00°
Element x y z (fractional)
Sm 0.771 0.250 0.107
Sm 0.378 0.250 0.893
Sm 0.573 0.250 0.501
Sm 0.271 0.750 0.107
Sm 0.877 0.750 0.893
Sm 0.075 0.750 0.499
Tm 0.475 0.750 0.698
Tm 0.173 0.250 0.302
In 0.671 0.750 0.306
In 0.977 0.250 0.694